## A
Density functional theory data (GGA-PBE) for a relaxed PmNdTlRu crystal.

Calculated values
symmetry = No. 99

Lattice parameters (Å, degrees): 3.463 3.463 8.682 90.00 90.00 90.00
Fractional positions:
Pm (0.500, 0.500, 0.370)
Nd (0.500, 0.500, 0.772)
Tl (0.000, 0.000, 0.073)
Ru (0.000, 0.000, 0.569)

=====

## B
Density functional theory data (GGA-PBE) for a relaxed PmNdTlRu crystal.

Calculated values
symmetry = No. 216

Lattice parameters (Å, degrees): 5.234 5.234 5.234 60.00 60.00 60.00
Fractional positions:
Ru (0.750, 0.750, 0.750)
Tl (0.250, 0.250, 0.250)
Nd (0.500, 0.500, 0.500)
Pm (0.000, 0.000, 0.000)

=====

Computed stability ranking, most favorable first: A, B

=====

## A
Density functional theory data (GGA-PBE) for a relaxed PmNd2S4 crystal.

Calculated values
symmetry = No. 63

Lattice parameters (Å, degrees): 3.935 7.025 13.488 90.00 90.00 106.26
Fractional positions:
Pm (0.626, 0.253, 0.750)
Pm (0.374, 0.747, 0.250)
Nd (0.129, 0.259, 0.429)
Nd (0.871, 0.741, 0.929)
Nd (0.129, 0.259, 0.071)
Nd (0.871, 0.741, 0.571)
S (0.777, 0.554, 0.124)
S (0.777, 0.554, 0.376)
S (0.223, 0.446, 0.876)
S (0.223, 0.446, 0.624)
S (0.976, 0.952, 0.750)
S (0.024, 0.048, 0.250)
S (0.500, 0.000, 0.000)
S (0.500, 0.000, 0.500)

=====

## B
Density functional theory data (GGA-PBE) for a relaxed PmNd2S4 crystal.

Calculated values
symmetry = No. 74

Lattice parameters (Å, degrees): 8.129 8.092 8.092 60.79 59.85 59.85
Fractional positions:
Pm (0.500, 0.500, 0.000)
Pm (0.000, 0.500, 0.000)
Nd (0.000, 0.000, 0.000)
Nd (0.000, 0.000, 0.500)
Nd (0.000, 0.500, 0.500)
Nd (0.500, 0.000, 0.500)
S (0.251, 0.250, 0.247)
S (0.749, 0.253, 0.250)
S (0.251, 0.747, 0.750)
S (0.749, 0.750, 0.753)
S (0.761, 0.749, 0.249)
S (0.759, 0.251, 0.751)
S (0.241, 0.749, 0.249)
S (0.239, 0.251, 0.751)

=====

Computed stability ranking, most favorable first: A, B

=====

## A
Density functional theory data (GGA-PBE) for a relaxed PmNd2Sb crystal.

Calculated values
symmetry = No. 123

Lattice parameters (Å, degrees): 4.932 4.915 4.915 90.00 90.00 90.00
Fractional positions:
Sb (0.500, 0.000, 0.000)
Nd (0.000, 0.000, 0.500)
Nd (0.000, 0.500, 0.000)
Pm (0.500, 0.500, 0.500)

=====

## B
Density functional theory data (GGA-PBE) for a relaxed PmNd2Sb crystal.

Calculated values
symmetry = No. 225

Lattice parameters (Å, degrees): 5.543 5.543 5.544 60.01 60.01 60.00
Fractional positions:
Sb (0.500, 0.500, 0.500)
Nd (0.250, 0.250, 0.250)
Nd (0.750, 0.750, 0.750)
Pm (0.000, 0.000, 0.000)

=====

Computed stability ranking, most favorable first: A, B

=====

## A
Density functional theory data (GGA-PBE) for a relaxed PmNd2Sb crystal.

Calculated values
symmetry = No. 63

Lattice parameters (Å, degrees): 4.654 4.642 12.044 90.00 101.12 90.00
Fractional positions:
Pm (0.695, 0.750, 0.391)
Pm (0.305, 0.250, 0.609)
Nd (0.568, 0.250, 0.136)
Nd (0.432, 0.750, 0.864)
Nd (0.061, 0.750, 0.122)
Nd (0.939, 0.250, 0.878)
Sb (0.170, 0.250, 0.339)
Sb (0.830, 0.750, 0.661)

=====

## B
Density functional theory data (GGA-PBE) for a relaxed PmNd2Sb crystal.

Calculated values
symmetry = No. 123

Lattice parameters (Å, degrees): 4.179 4.179 7.195 90.00 90.00 90.00
Site moments in Bohr magnetons follow the coordinates.
Fractional positions:
Sb (0.500, 0.500, 0.500)  0.00
Nd (0.000, 0.000, 0.719)  0.07
Nd (0.000, 0.000, 0.281)  0.07
Pm (0.500, 0.500, 0.000)  0.09

=====

Computed stability ranking, most favorable first: A, B